Record 1
Density functional theory data (GGA-PBE) for an optimized crystal structure of V2ReTc.

Its formation enthalpy at 0 K is -1.29 eV/f.u. For the magnetization, the calculation gives 0.000 μB/f.u. The calculation puts the relative energy among the computed polymorphs at 0.147 eV per formula unit.

The structure belongs to space group Imma (No. 74); the cell edges are 3.039, 4.267 and 17.254 Å and the angles 90.00°, 90.00° and 90.00°. Symmetry generates all atoms from V at (0.000, 0.250, 0.062), V at (0.000, 0.250, 0.813), Re at (0.000, 0.250, 0.563) and Tc at (0.000, 0.250, 0.313).

***

Record 2
Density functional theory data (GGA-PBE) for an optimized crystal structure of V2ReTc.

Its formation enthalpy at 0 K is 2.12 eV/f.u. For the magnetization, the calculation gives 0.000 μB/f.u. The calculation puts the relative energy among the computed polymorphs at 3.563 eV per formula unit.

The structure belongs to space group I-42d (No. 122); the cell edges are 6.782, 6.782 and 5.250 Å and the angles 90.00°, 90.00° and 90.00°. Symmetry generates all atoms from V at (0.246, 0.250, 0.125), Re at (0.000, 0.000, 0.500) and Tc at (0.000, 0.000, 0.000).

***

Record 3
Density functional theory data (GGA-PBE) for an optimized crystal structure of V5Re2Tc.

Its formation enthalpy at 0 K is -1.65 eV/f.u. For the magnetization, the calculation gives 0.000 μB/f.u.

The structure belongs to space group Pbam (No. 55); the cell edges are 5.163, 10.072 and 4.308 Å and the angles 90.00°, 90.00° and 90.00°. Symmetry generates all atoms from V at (0.000, 0.000, 0.000), V at (0.152, 0.253, 0.000), V at (0.166, 0.619, 0.500), Re at (0.167, 0.875, 0.500) and Tc at (0.000, 0.500, 0.000).

***

Record 4
Density functional theory data (GGA-PBE) for an optimized crystal structure of V5Re6Tc.

Its formation enthalpy at 0 K is -2.97 eV/f.u. For the magnetization, the calculation gives 0.000 μB/f.u.

The structure belongs to space group P2/m (No. 10); the cell edges are 4.309, 6.120 and 6.816 Å and the angles 90.00°, 108.49° and 90.00°. Symmetry generates all atoms from V at (0.000, 0.000, 0.000), V at (0.333, 0.500, 0.667), V at (0.334, 0.000, 0.668), Re at (0.168, 0.248, 0.336), Re at (0.500, 0.245, 0.000) and Tc at (0.000, 0.500, 0.000).

***

Record 5
Density functional theory data (GGA-PBE) for an optimized crystal structure of VRe3Tc.

Its formation enthalpy at 0 K is 8.53 eV/f.u. For the magnetization, the calculation gives 1.285 μB/f.u. The calculation puts the relative energy among the computed polymorphs at 0.000 eV per formula unit.

The structure belongs to space group Pm-3m (No. 221); the cell edges are 4.428, 4.428 and 4.428 Å and the angles 90.00°, 90.00° and 90.00°. Symmetry generates all atoms from V at (0.000, 0.000, 0.000), Re at (0.000, 0.000, 0.500) and Tc at (0.500, 0.500, 0.500).

***

Record 6
Density functional theory data (GGA-PBE) for an optimized crystal structure of V2ReTc2.

Its formation enthalpy at 0 K is -0.84 eV/f.u. For the magnetization, the calculation gives 0.000 μB/f.u.

The structure belongs to space group C2/m (No. 12); the cell edges are 12.539, 4.245 and 2.694 Å and the angles 90.00°, 98.25° and 90.00°. Symmetry generates all atoms from V at (0.099, 0.000, 0.394), Re at (0.000, 0.500, 0.000) and Tc at (0.200, 0.500, 0.771).

***

Record 7
Density functional theory data (GGA-PBE) for an optimized crystal structure of V4Re2Tc.

Its formation enthalpy at 0 K is 7.97 eV/f.u. For the magnetization, the calculation gives 1.451 μB/f.u. The calculation puts the relative energy among the computed polymorphs at 7.748 eV per formula unit.

The structure belongs to space group I4/mmm (No. 139); the cell edges are 4.438, 4.438 and 12.414 Å and the angles 90.00°, 90.00° and 90.00°. Symmetry generates all atoms from V at (0.000, 0.000, 0.196), V at (0.000, 0.500, 0.000), Re at (0.000, 0.000, 0.383) and Tc at (0.000, 0.000, 0.000).

***

Record 8
Density functional theory data (GGA-PBE) for an optimized crystal structure of V4ReTc5.

Its formation enthalpy at 0 K is -2.59 eV/f.u. For the magnetization, the calculation gives 0.000 μB/f.u.

The structure belongs to space group P4/mmm (No. 123); the cell edges are 3.027, 3.027 and 15.345 Å and the angles 90.00°, 90.00° and 90.00°. Symmetry generates all atoms from V at (0.000, 0.000, 0.098), V at (0.000, 0.000, 0.294), Re at (0.000, 0.000, 0.500), Tc at (0.500, 0.500, 0.000), Tc at (0.500, 0.500, 0.198) and Tc at (0.500, 0.500, 0.392).

***

Record 9
Density functional theory data (GGA-PBE) for an optimized crystal structure of V7Re3Tc2.

Its formation enthalpy at 0 K is 1.37 eV/f.u. For the magnetization, the calculation gives 0.001 μB/f.u.

The structure belongs to space group Cmmm (No. 65); the cell edges are 4.223, 20.465 and 4.233 Å and the angles 90.00°, 90.00° and 90.00°. Symmetry generates all atoms from V at (0.000, 0.000, 0.000), V at (0.000, 0.075, 0.500), V at (0.000, 0.286, 0.000), V at (0.000, 0.428, 0.000), Re at (0.000, 0.352, 0.500), Re at (0.000, 0.500, 0.500) and Tc at (0.000, 0.148, 0.000).

***

Record 10
Density functional theory data (GGA-PBE) for an optimized crystal structure of V3ReTc.

Its formation enthalpy at 0 K is 7.16 eV/f.u. For the magnetization, the calculation gives 0.030 μB/f.u. The calculation puts the relative energy among the computed polymorphs at 8.918 eV per formula unit.

The structure belongs to space group Pm-3m (No. 221); the cell edges are 4.411, 4.411 and 4.411 Å and the angles 90.00°, 90.00° and 90.00°. Symmetry generates all atoms from V at (0.000, 0.000, 0.500), Re at (0.500, 0.500, 0.500) and Tc at (0.000, 0.000, 0.000).

***

Record 11
Density functional theory data (GGA-PBE) for an optimized crystal structure of V4ReTc3.

Its formation enthalpy at 0 K is -2.92 eV/f.u. For the magnetization, the calculation gives 0.000 μB/f.u.

The structure belongs to space group Pmmm (No. 47); the cell edges are 3.031, 4.285 and 8.567 Å and the angles 90.00°, 90.00° and 90.00°. Symmetry generates all atoms from V at (0.000, 0.000, 0.000), V at (0.000, 0.000, 0.500), V at (0.000, 0.500, 0.249), Re at (0.500, 0.500, 0.500), Tc at (0.500, 0.000, 0.250) and Tc at (0.500, 0.500, 0.000).

***

Record 12
Density functional theory data (GGA-PBE) for an optimized crystal structure of V3ReTc.

Its formation enthalpy at 0 K is -1.76 eV/f.u. For the magnetization, the calculation gives 0.000 μB/f.u. The calculation puts the relative energy among the computed polymorphs at 0.000 eV per formula unit.

The structure belongs to space group P2_1/m (No. 11); the cell edges are 4.270, 4.282 and 7.860 Å and the angles 90.00°, 105.66° and 90.00°. Symmetry generates all atoms from V at (0.050, 0.250, 0.100), V at (0.250, 0.250, 0.500), V at (0.449, 0.250, 0.899), Re at (0.149, 0.750, 0.298) and Tc at (0.351, 0.750, 0.702).

***

Record 13
Density functional theory data (GGA-PBE) for an optimized crystal structure of V2ReTc.

Its formation enthalpy at 0 K is -1.44 eV/f.u. For the magnetization, the calculation gives 0.000 μB/f.u. The calculation puts the relative energy among the computed polymorphs at 0.000 eV per formula unit.

The structure belongs to space group P4/mmm (No. 123); the cell edges are 4.288, 4.288 and 3.035 Å and the angles 90.00°, 90.00° and 90.00°. Symmetry generates all atoms from V at (0.000, 0.500, 0.000), Re at (0.000, 0.000, 0.500) and Tc at (0.500, 0.500, 0.500).

***

Record 14
Density functional theory data (GGA-PBE) for an optimized crystal structure of V8Re2Tc3.

Its formation enthalpy at 0 K is 2.62 eV/f.u. For the magnetization, the calculation gives 0.000 μB/f.u.

The structure belongs to space group Cmmm (No. 65); the cell edges are 6.498, 13.973 and 4.283 Å and the angles 90.00°, 90.00° and 90.00°. Symmetry generates all atoms from V at (0.000, 0.117, 0.000), V at (0.000, 0.320, 0.000), V at (0.195, 0.395, 0.500), Re at (0.000, 0.218, 0.500), Tc at (0.000, 0.000, 0.500) and Tc at (0.195, 0.500, 0.000).

***

Record 15
Density functional theory data (GGA-PBE) for an optimized crystal structure of V2ReTc.

Its formation enthalpy at 0 K is -1.43 eV/f.u. For the magnetization, the calculation gives 0.000 μB/f.u. The calculation puts the relative energy among the computed polymorphs at 0.014 eV per formula unit.

The structure belongs to space group Fm-3m (No. 225); the cell edges are 6.065, 6.065 and 6.065 Å and the angles 90.00°, 90.00° and 90.00°. Symmetry generates all atoms from V at (0.250, 0.250, 0.250), Re at (0.000, 0.000, 0.000) and Tc at (0.000, 0.000, 0.500).

***

Record 16
Density functional theory data (GGA-PBE) for an optimized crystal structure of V2Re3Tc.

Its formation enthalpy at 0 K is -1.00 eV/f.u. For the magnetization, the calculation gives 0.001 μB/f.u.

The structure belongs to space group C2/c (No. 15); the cell edges are 10.152, 8.697 and 4.314 Å and the angles 90.00°, 115.04° and 90.00°. Symmetry generates all atoms from V at (0.165, 0.128, 0.415), Re at (0.000, 0.365, 0.250), Re at (0.173, 0.379, 0.923) and Tc at (0.000, 0.120, 0.750).

***

Record 17
Density functional theory data (GGA-PBE) for an optimized crystal structure of V4ReTc2.

Its formation enthalpy at 0 K is 7.81 eV/f.u. For the magnetization, the calculation gives 2.533 μB/f.u. The calculation puts the relative energy among the computed polymorphs at 7.630 eV per formula unit.

The structure belongs to space group I4/mmm (No. 139); the cell edges are 4.528, 4.528 and 12.257 Å and the angles 90.00°, 90.00° and 90.00°. Symmetry generates all atoms from V at (0.000, 0.000, 0.199), V at (0.000, 0.500, 0.000), Re at (0.000, 0.000, 0.000) and Tc at (0.000, 0.000, 0.382).

***

Record 18
Density functional theory data (GGA-PBE) for an optimized crystal structure of V4Re2Tc.

Its formation enthalpy at 0 K is 1.10 eV/f.u. For the magnetization, the calculation gives 0.000 μB/f.u. The calculation puts the relative energy among the computed polymorphs at 0.883 eV per formula unit.

The structure belongs to space group P2/m (No. 10); the cell edges are 4.527, 2.802 and 8.033 Å and the angles 90.00°, 101.60° and 90.00°. Symmetry generates all atoms from V at (0.007, 0.000, 0.138), V at (0.178, 0.500, 0.406), Re at (0.394, 0.000, 0.686) and Tc at (0.500, 0.500, 0.000).

***

Record 19
Density functional theory data (GGA-PBE) for an optimized crystal structure of V4Re2Tc.

Its formation enthalpy at 0 K is 0.22 eV/f.u. For the magnetization, the calculation gives 0.000 μB/f.u. The calculation puts the relative energy among the computed polymorphs at 0.000 eV per formula unit.

The structure belongs to space group I4/mmm (No. 139); the cell edges are 5.996, 5.996 and 5.980 Å and the angles 90.00°, 90.00° and 90.00°. Symmetry generates all atoms from V at (0.250, 0.250, 0.250), Re at (0.000, 0.500, 0.000) and Tc at (0.000, 0.000, 0.000).

***

Record 20
Density functional theory data (GGA-PBE) for an optimized crystal structure of V3ReTc.

Its formation enthalpy at 0 K is 1.61 eV/f.u. For the magnetization, the calculation gives 0.000 μB/f.u. The calculation puts the relative energy among the computed polymorphs at 3.375 eV per formula unit.

The structure belongs to space group Cmcm (No. 63); the cell edges are 10.005, 7.954 and 7.670 Å and the angles 90.00°, 90.00° and 90.00°. Symmetry generates all atoms from V at (0.129, 0.000, 0.000), V at (0.131, 0.339, 0.048), Re at (0.000, 0.138, 0.750), Re at (0.000, 0.463, 0.750) and Tc at (0.239, 0.107, 0.250).